Crystalline BaLiAgHg at its relaxed geometry, computed with PBE.

## Properties
ΔE to the lowest computed polymorph = 0 meV/atom
Density = 6.5 g/cm3
Crystal system = monoclinic
DOS at the Fermi energy = 2.52 states/eV/f.u.
Space group = Cm

abc: 4.8505 4.8505 6.3530
angles: 112.27 112.27 59.95
Atoms (fractional coordinates):
Ba1 0.0000 0.0000 0.0000
Li1 0.4963 0.4963 0.4887
Ag1 0.8004 0.8004 0.3998
Hg1 0.2021 0.2021 0.6066

Crystalline Ba2LiAg3Hg4 at its relaxed geometry, computed with PBE.

## Properties
Total energy = -18.4 eV/f.u.
Density = 8.4 g/cm3
Crystal system = tetragonal
DOS at the Fermi energy = 5.87 states/eV/f.u.
Space group = P-4m2

abc: 4.7995 4.7995 12.0354
angles: 90.00 90.00 90.00
Atoms (fractional coordinates):
Ba1 0.0000 0.5000 0.2440
Ba2 0.5000 0.0000 0.7560
Li1 0.0000 0.0000 0.5000
Ag1 0.0000 0.5000 0.8621
Ag2 0.5000 0.0000 0.1379
Ag3 0.5000 0.5000 0.5000
Hg1 0.0000 0.0000 0.0000
Hg2 0.0000 0.5000 0.6273
Hg3 0.5000 0.0000 0.3727
Hg4 0.5000 0.5000 0.0000

Crystalline Ba2LiAgHg6 at its relaxed geometry, computed with PBE.

## Properties
Total energy = -13.5 eV/f.u.
Density = 9.1 g/cm3
Crystal system = triclinic
DOS at the Fermi energy = 5.57 states/eV/f.u.
Space group = P-1

abc: 7.2094 7.2248 7.6774
angles: 62.17 62.08 60.15
Atoms (fractional coordinates):
Ba1 0.2149 0.2156 0.3492
Ba2 0.7851 0.7844 0.6508
Li1 0.0000 0.0000 0.0000
Ag1 0.5000 0.5000 0.5000
Hg1 0.2420 0.2417 0.8261
Hg2 0.2456 0.6925 0.8241
Hg3 0.3065 0.7556 0.1769
Hg4 0.6935 0.2444 0.8231
Hg5 0.7544 0.3075 0.1759
Hg6 0.7580 0.7583 0.1739

Crystalline BaLiAg2Hg at its relaxed geometry, computed with PBE.

## Properties
Total energy = -10.7 eV/f.u.
Density = 7.0 g/cm3
Crystal system = tetragonal
DOS at the Fermi energy = 2.30 states/eV/f.u.
Space group = P4/mmm

abc: 5.0909 5.0909 5.1072
angles: 90.00 90.00 90.00
Atoms (fractional coordinates):
Ba1 0.0000 0.0000 0.0000
Li1 0.5000 0.5000 0.5000
Ag1 0.0000 0.5000 0.5000
Ag2 0.5000 0.0000 0.5000
Hg1 0.5000 0.5000 0.0000

Crystalline BaLiAgHg at its relaxed geometry, computed with PBE.

## Properties
ΔE to the lowest computed polymorph = 113 meV/atom
Density = 6.3 g/cm3
Crystal system = cubic
DOS at the Fermi energy = 1.71 states/eV/f.u.
Space group = F-43m

abc: 5.5160 5.5160 5.5160
angles: 60.00 60.00 60.00
Atoms (fractional coordinates):
Ba1 0.0000 0.0000 0.0000
Li1 0.5000 0.5000 0.5000
Ag1 0.7500 0.7500 0.7500
Hg1 0.2500 0.2500 0.2500

Crystalline Ba3Li2Ag2Hg4 at its relaxed geometry, computed with PBE.

## Properties
Total energy = -20.1 eV/f.u.
Density = 6.8 g/cm3
Crystal system = trigonal
DOS at the Fermi energy = 9.13 states/eV/f.u.
Space group = P-3m1

abc: 4.9853 4.9853 16.3075
angles: 90.00 90.00 120.00
Atoms (fractional coordinates):
Ba1 0.0000 0.0000 0.0000
Ba2 0.0000 0.0000 0.2679
Ba3 0.0000 0.0000 0.7321
Li1 0.3333 0.6667 0.5632
Li2 0.6667 0.3333 0.4368
Ag1 0.3333 0.6667 0.1360
Ag2 0.6667 0.3333 0.8640
Hg1 0.3333 0.6667 0.3954
Hg2 0.3333 0.6667 0.8634
Hg3 0.6667 0.3333 0.1366
Hg4 0.6667 0.3333 0.6046

Crystalline BaLiAg2Hg4 at its relaxed geometry, computed with PBE.

## Properties
Total energy = -12.8 eV/f.u.
Density = 9.7 g/cm3
Crystal system = trigonal
DOS at the Fermi energy = 1.97 states/eV/f.u.
Space group = R-3m

abc: 10.0872 10.0872 10.0872
angles: 28.00 28.00 28.00
Atoms (fractional coordinates):
Ba1 0.0000 0.0000 0.0000
Li1 0.5000 0.5000 0.5000
Ag1 0.2341 0.2341 0.2341
Ag2 0.7659 0.7659 0.7659
Hg1 0.1306 0.1306 0.1306
Hg2 0.4014 0.4014 0.4014
Hg3 0.5986 0.5986 0.5986
Hg4 0.8694 0.8694 0.8694

Crystalline BaLiAgHg2 at its relaxed geometry, computed with PBE.

## Properties
ΔE to the lowest computed polymorph = 147 meV/atom
Density = 7.3 g/cm3
Crystal system = tetragonal
DOS at the Fermi energy = 3.29 states/eV/f.u.
Space group = P4/mmm

abc: 5.4610 5.4610 4.9860
angles: 90.00 90.00 90.00
Atoms (fractional coordinates):
Ba1 0.0000 0.0000 0.0000
Li1 0.5000 0.5000 0.0000
Ag1 0.5000 0.5000 0.5000
Hg1 0.0000 0.5000 0.5000
Hg2 0.5000 0.0000 0.5000

Crystalline Ba2LiAgHg2 at its relaxed geometry, computed with PBE.

## Properties
Total energy = -11.3 eV/f.u.
Density = 6.8 g/cm3
Crystal system = orthorhombic
DOS at the Fermi energy = 5.06 states/eV/f.u.
Space group = Ibam

abc: 9.2892 9.2892 9.2892
angles: 136.17 64.53 135.12
Atoms (fractional coordinates):
Ba1 0.1602 0.2346 0.3948
Ba2 0.3398 0.7346 0.0745
Ba3 0.6602 0.2654 0.9255
Ba4 0.8398 0.7654 0.6052
Li1 0.2500 0.7500 0.5000
Li2 0.7500 0.2500 0.5000
Ag1 0.2500 0.2500 0.0000
Ag2 0.7500 0.7500 0.0000
Hg1 0.0996 0.7304 0.8300
Hg2 0.4004 0.2304 0.6309
Hg3 0.5996 0.7696 0.3691
Hg4 0.9004 0.2696 0.1700

Crystalline Ba2LiAg4Hg3 at its relaxed geometry, computed with PBE.

## Properties
Total energy = -20.6 eV/f.u.
Density = 8.0 g/cm3
Crystal system = tetragonal
DOS at the Fermi energy = 3.96 states/eV/f.u.
Space group = P-4m2

abc: 4.9331 4.9331 11.2424
angles: 90.00 90.00 90.00
Atoms (fractional coordinates):
Ba1 0.0000 0.5000 0.2430
Ba2 0.5000 0.0000 0.7570
Li1 0.0000 0.0000 0.5000
Ag1 0.0000 0.0000 0.0000
Ag2 0.0000 0.5000 0.6203
Ag3 0.5000 0.0000 0.3797
Ag4 0.5000 0.5000 0.0000
Hg1 0.0000 0.5000 0.8687
Hg2 0.5000 0.0000 0.1313
Hg3 0.5000 0.5000 0.5000

Crystalline BaLiAgHg2 at its relaxed geometry, computed with PBE.

## Properties
ΔE to the lowest computed polymorph = 62 meV/atom
Density = 7.9 g/cm3
Crystal system = tetragonal
DOS at the Fermi energy = 2.81 states/eV/f.u.
Space group = P4/mmm

abc: 5.1924 5.1924 5.0845
angles: 90.00 90.00 90.00
Atoms (fractional coordinates):
Ba1 0.0000 0.0000 0.0000
Li1 0.5000 0.5000 0.5000
Ag1 0.5000 0.5000 0.0000
Hg1 0.0000 0.5000 0.5000
Hg2 0.5000 0.0000 0.5000

Crystalline BaLi4Ag2Hg at its relaxed geometry, computed with PBE.

## Properties
Total energy = -17.0 eV/f.u.
Density = 5.3 g/cm3
Crystal system = trigonal
DOS at the Fermi energy = 3.05 states/eV/f.u.
Space group = R-3m

abc: 10.1415 10.1415 10.1415
angles: 26.42 26.42 26.42
Atoms (fractional coordinates):
Ba1 0.0000 0.0000 0.0000
Li1 0.1352 0.1352 0.1352
Li2 0.4116 0.4116 0.4116
Li3 0.5884 0.5884 0.5884
Li4 0.8648 0.8648 0.8648
Ag1 0.2370 0.2370 0.2370
Ag2 0.7630 0.7630 0.7630
Hg1 0.5000 0.5000 0.5000

Crystalline BaLi2AgHg at its relaxed geometry, computed with PBE.

## Properties
ΔE to the lowest computed polymorph = 0 meV/atom
Density = 5.3 g/cm3
Crystal system = tetragonal
DOS at the Fermi energy = 3.34 states/eV/f.u.
Space group = P4/mmm

abc: 5.1344 5.1344 5.4560
angles: 90.00 90.00 90.00
Atoms (fractional coordinates):
Ba1 0.0000 0.0000 0.0000
Li1 0.0000 0.5000 0.5000
Li2 0.5000 0.0000 0.5000
Ag1 0.5000 0.5000 0.5000
Hg1 0.5000 0.5000 0.0000

Crystalline BaLiAgHg2 at its relaxed geometry, computed with PBE.

## Properties
ΔE to the lowest computed polymorph = 0 meV/atom
Density = 7.9 g/cm3
Crystal system = tetragonal
DOS at the Fermi energy = 2.12 states/eV/f.u.
Space group = I-4m2

abc: 7.6736 7.6736 7.6736
angles: 146.53 146.53 48.06
Atoms (fractional coordinates):
Ba1 0.0000 0.0000 0.0000
Li1 0.7500 0.2500 0.5000
Ag1 0.2500 0.7500 0.5000
Hg1 0.3813 0.3813 0.0000
Hg2 0.6187 0.6187 0.0000

Crystalline BaMg4Ag2Hg at its relaxed geometry, computed with PBE.

## Properties
Total energy = -15.6 eV/f.u.
Density = 5.3 g/cm3
Crystal system = trigonal
DOS at the Fermi energy = 4.96 states/eV/f.u.
Space group = R-3m

abc: 10.8012 10.8012 10.8012
angles: 25.51 25.51 25.51
Atoms (fractional coordinates):
Ba1 0.0000 0.0000 0.0000
Mg1 0.1332 0.1332 0.1332
Mg2 0.4105 0.4105 0.4105
Mg3 0.5895 0.5895 0.5895
Mg4 0.8668 0.8668 0.8668
Ag1 0.2423 0.2423 0.2423
Ag2 0.7577 0.7577 0.7577
Hg1 0.5000 0.5000 0.5000

Crystalline BaMg2AgHg4 at its relaxed geometry, computed with PBE.

## Properties
Total energy = -11.2 eV/f.u.
Density = 8.7 g/cm3
Crystal system = trigonal
DOS at the Fermi energy = 3.67 states/eV/f.u.
Space group = R-3m

abc: 10.5572 10.5572 10.5572
angles: 26.62 26.62 26.62
Atoms (fractional coordinates):
Ba1 0.0000 0.0000 0.0000
Mg1 0.2282 0.2282 0.2282
Mg2 0.7718 0.7718 0.7718
Ag1 0.5000 0.5000 0.5000
Hg1 0.1282 0.1282 0.1282
Hg2 0.4001 0.4001 0.4001
Hg3 0.5999 0.5999 0.5999
Hg4 0.8718 0.8718 0.8718

Crystalline BaMgAgHg2 at its relaxed geometry, computed with PBE.

## Properties
Total energy = -7.8 eV/f.u.
Density = 7.2 g/cm3
Crystal system = tetragonal
DOS at the Fermi energy = 3.32 states/eV/f.u.
Space group = P4/mmm

abc: 5.4069 5.4069 5.2785
angles: 90.00 90.00 90.00
Atoms (fractional coordinates):
Ba1 0.0000 0.0000 0.0000
Mg1 0.5000 0.5000 0.5000
Ag1 0.5000 0.5000 0.0000
Hg1 0.0000 0.5000 0.5000
Hg2 0.5000 0.0000 0.5000

Crystalline Ba2MgAg3Hg12 at its relaxed geometry, computed with PBE.

## Properties
Total energy = -19.6 eV/f.u.
Density = 9.9 g/cm3
Crystal system = trigonal
DOS at the Fermi energy = 7.77 states/eV/f.u.
Space group = R-3m

abc: 12.7336 12.7336 12.7336
angles: 31.76 31.76 31.76
Atoms (fractional coordinates):
Ba1 0.1381 0.1381 0.1381
Ba2 0.8619 0.8619 0.8619
Mg1 0.5000 0.5000 0.5000
Ag1 0.0000 0.5000 0.5000
Ag2 0.5000 0.0000 0.5000
Ag3 0.5000 0.5000 0.0000
Hg1 0.0951 0.0951 0.6575
Hg2 0.0951 0.6575 0.0951
Hg3 0.1057 0.6125 0.6125
Hg4 0.3425 0.9049 0.9049
Hg5 0.3875 0.3875 0.8943
Hg6 0.3875 0.8944 0.3875
Hg7 0.6125 0.1057 0.6125
Hg8 0.6125 0.6125 0.1057
Hg9 0.6575 0.0951 0.0951
Hg10 0.8943 0.3875 0.3875
Hg11 0.9049 0.3425 0.9049
Hg12 0.9049 0.9049 0.3425

Crystalline BaMg2AgHg5 at its relaxed geometry, computed with PBE.

## Properties
Total energy = -10.7 eV/f.u.
Density = 8.3 g/cm3
Crystal system = orthorhombic
DOS at the Fermi energy = 4.09 states/eV/f.u.
Space group = Immm

abc: 8.4848 8.4848 8.4848
angles: 143.70 133.39 60.47
Atoms (fractional coordinates):
Ba1 0.0000 0.0000 0.0000
Mg1 0.3125 0.8125 0.5000
Mg2 0.6875 0.1875 0.5000
Ag1 0.5000 0.5000 0.0000
Hg1 0.0883 0.3391 0.7492
Hg2 0.4101 0.6609 0.7492
Hg3 0.5000 0.0000 0.5000
Hg4 0.5899 0.3391 0.2508
Hg5 0.9117 0.6609 0.2508

Crystalline BaMg2Ag2Hg at its relaxed geometry, computed with PBE.

## Properties
Total energy = -11.5 eV/f.u.
Density = 5.7 g/cm3
Crystal system = tetragonal
DOS at the Fermi energy = 3.09 states/eV/f.u.
Space group = P4/mmm

abc: 5.2119 5.2119 6.4453
angles: 90.00 90.00 90.00
Atoms (fractional coordinates):
Ba1 0.0000 0.0000 0.0000
Mg1 0.0000 0.5000 0.5000
Mg2 0.5000 0.0000 0.5000
Ag1 0.5000 0.5000 0.2295
Ag2 0.5000 0.5000 0.7705
Hg1 0.0000 0.0000 0.5000

Crystalline Ba2Mg12Ag3Hg at its relaxed geometry, computed with PBE.

## Properties
Total energy = -29.1 eV/f.u.
Density = 3.1 g/cm3
Crystal system = trigonal
DOS at the Fermi energy = 10.44 states/eV/f.u.
Space group = R-3m

abc: 9.1810 9.1810 9.1810
angles: 62.43 62.43 62.43
Atoms (fractional coordinates):
Ba1 0.1116 0.1116 0.1116
Ba2 0.8884 0.8884 0.8884
Mg1 0.1386 0.6111 0.6111
Mg2 0.1637 0.1637 0.5942
Mg3 0.1637 0.5942 0.1637
Mg4 0.3889 0.3889 0.8614
Mg5 0.3889 0.8614 0.3889
Mg6 0.4058 0.8363 0.8363
Mg7 0.5942 0.1637 0.1637
Mg8 0.6111 0.1386 0.6111
Mg9 0.6111 0.6111 0.1386
Mg10 0.8363 0.4058 0.8363
Mg11 0.8363 0.8363 0.4058
Mg12 0.8614 0.3889 0.3889
Ag1 0.0000 0.5000 0.5000
Ag2 0.5000 0.0000 0.5000
Ag3 0.5000 0.5000 0.0000
Hg1 0.5000 0.5000 0.5000

Crystalline Ba2AgHgN at its relaxed geometry, computed with PBE.

## Properties
Density = 6.9 g/cm3
Crystal system = tetragonal
DOS at the Fermi energy = 3.46 states/eV/f.u.
Space group = P4/mmm
ΔE_f (raw) = -0.22 eV/atom

abc: 5.7670 5.7670 4.3103
angles: 90.00 90.00 90.00
Atoms (fractional coordinates):
Ba1 0.0000 0.5000 0.0000
Ba2 0.5000 0.0000 0.0000
Ag1 0.0000 0.0000 0.5000
Hg1 0.5000 0.5000 0.5000
N1 0.0000 0.0000 0.0000

Crystalline BaNaAg2Hg2 at its relaxed geometry, computed with PBE.

## Properties
Total energy = -11.2 eV/f.u.
Density = 7.9 g/cm3
Crystal system = trigonal
DOS at the Fermi energy = 1.95 states/eV/f.u.
Space group = P-3m1

abc: 5.0104 5.0104 7.5376
angles: 90.00 90.00 120.00
Atoms (fractional coordinates):
Ba1 0.0000 0.0000 0.0000
Na1 0.0000 0.0000 0.5000
Ag1 0.3333 0.6667 0.6966
Ag2 0.6667 0.3333 0.3034
Hg1 0.3333 0.6667 0.2912
Hg2 0.6667 0.3333 0.7088

Crystalline BaNaAg2Hg at its relaxed geometry, computed with PBE.

## Properties
Total energy = -6.3 eV/f.u.
Density = 3.1 g/cm3
Crystal system = tetragonal
DOS at the Fermi energy = 0.16 states/eV/f.u.
Space group = P4/mmm

abc: 6.3653 6.3653 7.7421
angles: 90.00 90.00 90.00
Atoms (fractional coordinates):
Ba1 0.0000 0.0000 0.0000
Na1 0.0000 0.0000 0.5000
Ag1 0.0000 0.5000 0.0000
Ag2 0.5000 0.0000 0.0000
Hg1 0.5000 0.5000 0.5000

Crystalline BaNaAgHg at its relaxed geometry, computed with PBE.

## Properties
Total energy = -7.4 eV/f.u.
Density = 6.1 g/cm3
Crystal system = cubic
DOS at the Fermi energy = 2.03 states/eV/f.u.
Space group = F-43m

abc: 5.6413 5.6413 5.6413
angles: 60.00 60.00 60.00
Atoms (fractional coordinates):
Ba1 0.0000 0.0000 0.0000
Na1 0.5000 0.5000 0.5000
Ag1 0.7500 0.7500 0.7500
Hg1 0.2500 0.2500 0.2500